[1]
DFT (PBE-GGA) results for Y3HoTl4S8 after structural relaxation.

Cell: 8.0608 8.8434 8.0615 Å, 117.12 120.00 90.00°
Fractional coordinates of all 16 atoms:
Y  0.5000  0.5000  0.0000
Y  0.5000  0.5000  0.5000
Y  0.0000  0.5000  0.5000
Ho  0.0000  0.5000  0.0000
Tl  0.5000  0.0000  0.0000
Tl  0.5000  0.0000  0.5000
Tl  0.0000  0.0000  0.0000
Tl  0.0000  0.0000  0.5000
S  0.2319  0.6978  0.9660
S  0.2319  0.6978  0.4638
S  0.2672  0.3016  0.5343
S  0.7341  0.6978  0.9660
S  0.2659  0.3022  0.0340
S  0.7328  0.6984  0.4657
S  0.7681  0.3022  0.5362
S  0.7681  0.3022  0.0340

N(E_F) = 0.0 states/eV per cell
ΔE_f (raw) = -1.492 eV per atom
E = -0.4150 Ry per atom



[2]
DFT (PBE-GGA) results for Tb2BiPd8 after structural relaxation.

Cell: 4.8062 5.9528 8.2428 Å, 111.16 106.95 90.00°
Fractional coordinates of all 11 atoms:
Tb  0.8135  0.3135  0.6271
Tb  0.1865  0.6865  0.3729
Bi  0.5000  0.0000  0.0000
Pd  0.3549  0.5927  0.7097
Pd  0.6452  0.8835  0.2905
Pd  0.8177  0.8176  0.6354
Pd  0.9999  0.2554  0.9998
Pd  0.1823  0.1824  0.3646
Pd  0.3548  0.1165  0.7095
Pd  0.6451  0.4073  0.2903
Pd  0.0001  0.7446  0.0002

N(E_F) = 3.8 states/eV per cell
DFT formation energy = -6.22 eV/f.u.
E = -0.4069 Ry per atom



[3]
DFT (PBE-GGA) results for TlAgBr3 after structural relaxation.

Cell: 7.5762 7.5762 7.5762 Å, 60.65 60.65 60.65°
Fractional coordinates of all 10 atoms:
Tl  0.2715  0.2715  0.2715
Tl  0.7715  0.7715  0.7715
Ag  0.0028  0.0028  0.0028
Ag  0.5028  0.5028  0.5028
Br  0.8048  0.2490  0.7004
Br  0.7004  0.8048  0.2490
Br  0.2490  0.7004  0.8048
Br  0.3048  0.2004  0.7490
Br  0.2004  0.7490  0.3048
Br  0.7490  0.3048  0.2004

N(E_F) = 5.0 states/eV per cell
ΔE_f (raw) = -0.475 eV per atom
E = -0.1854 Ry per atom



[4]
DFT (PBE-GGA) results for SbRu2 after structural relaxation.

Cell: 5.4468 5.4468 5.4468 Å, 146.68 146.68 47.83°
Fractional coordinates of all 3 atoms:
Ru  0.3432  0.3432  0.0000
Ru  0.6568  0.6568  0.0000
Sb  0.0000  0.0000  0.0000

N(E_F) = 4.2 states/eV per cell
ΔE_f (raw) = 0.298 eV per atom
E = -0.5336 Ry per atom



[5]
DFT (PBE-GGA) results for Ba2InRuN after structural relaxation.

Cell: 5.9598 5.9598 3.8389 Å, 90.00 90.00 90.00°
Fractional coordinates of all 5 atoms:
Ru  0.0000  0.0000  0.5000
N  0.0000  0.0000  0.0000
Ba  0.0000  0.5000  0.0000
Ba  0.5000  0.0000  0.0000
In  0.5000  0.5000  0.5000

N(E_F) = 2.8 states/eV per cell
ΔE_f (raw) = -0.275 eV per atom
Relative energy among the computed polymorphs = 0.000 eV per atom
E = -0.3757 Ry per atom



[6]
DFT (PBE-GGA) results for ReRu after structural relaxation.

Cell: 9.5847 9.5847 2.6934 Å, 90.00 90.00 90.00°
Fractional coordinates of all 16 atoms:
Re  0.3983  0.3368  0.0000
Re  0.6017  0.6632  0.0000
Re  0.6632  0.3983  0.0000
Re  0.3368  0.6017  0.0000
Re  0.8983  0.8368  0.5000
Re  0.1017  0.1632  0.5000
Re  0.1632  0.8983  0.5000
Re  0.8368  0.1017  0.5000
Ru  0.4061  0.8568  0.0000
Ru  0.5939  0.1432  0.0000
Ru  0.1432  0.4061  0.0000
Ru  0.8568  0.5939  0.0000
Ru  0.9061  0.3568  0.5000
Ru  0.0939  0.6432  0.5000
Ru  0.6432  0.9061  0.5000
Ru  0.3568  0.0939  0.5000

N(E_F) = 14.1 states/eV per cell
DFT formation energy = 1.18 eV/f.u.
E = -0.7549 Ry per atom



[7]
DFT (PBE-GGA) results for TbThPt10 after structural relaxation.

Cell: 4.4603 5.3955 9.2963 Å, 90.00 90.00 90.00°
Fractional coordinates of all 12 atoms:
Tb  0.0000  0.5000  0.5000
Th  0.0000  0.0000  0.0000
Pt  0.0000  0.0000  0.3340
Pt  0.0000  0.5000  0.8315
Pt  0.0000  0.5000  0.1685
Pt  0.0000  0.0000  0.6660
Pt  0.5000  0.0000  0.5000
Pt  0.5000  0.5000  0.0000
Pt  0.5000  0.2490  0.2496
Pt  0.5000  0.7510  0.7504
Pt  0.5000  0.7510  0.2496
Pt  0.5000  0.2490  0.7504

N(E_F) = 10.9 states/eV per cell
DFT formation energy = -9.03 eV/f.u.
E = -0.4991 Ry per atom



[8]
DFT (PBE-GGA) results for Au3Br after structural relaxation.

Cell: 3.0157 3.0157 10.2470 Å, 90.00 90.00 120.00°
Fractional coordinates of all 4 atoms:
Au  0.0000  0.0000  0.0224
Au  0.0000  0.0000  0.4776
Au  0.6667  0.3333  0.2500
Br  0.6667  0.3333  0.7500

N(E_F) = 2.3 states/eV per cell
ΔE_f (raw) = 0.274 eV per atom
Relative energy among the computed polymorphs = 0.163 eV per atom
E = -0.1912 Ry per atom



[9]
DFT (PBE-GGA) results for CaDyBiPd after structural relaxation.

Cell: 5.2506 5.2506 5.2506 Å, 60.00 60.00 60.00°
Fractional coordinates of all 4 atoms:
Ca  0.7500  0.7500  0.7500
Bi  0.5000  0.5000  0.5000
Pd  0.0000  0.0000  0.0000
Dy  0.2500  0.2500  0.2500

N(E_F) = 1.5 states/eV per cell
DFT formation energy = -2.80 eV/f.u.
E = -0.3396 Ry per atom



[10]
DFT (PBE-GGA) results for LiRe4 after structural relaxation.

Cell: 4.7064 4.7064 4.7064 Å, 100.39 100.39 129.75°
Fractional coordinates of all 5 atoms:
Li  0.0000  0.0000  0.0000
Re  0.2068  0.5877  0.7944
Re  0.5877  0.7932  0.3809
Re  0.7932  0.4123  0.2056
Re  0.4123  0.2068  0.6191

N(E_F) = 4.6 states/eV per cell
DFT formation energy = 1.23 eV/f.u.
Relative energy among the computed polymorphs = 0.000 eV per atom
E = -0.7420 Ry per atom